Compound: PaNiPbO6
Source: the Alexandria database
Functional: PBE with a Hubbard U
Structure: relaxed Values from VASP.

## Properties
- M_tot (μB/cell) = 0.967
- space group = P312
- calculated total energy (eV/f.u.) = -61.6

Structure (Quantum ESPRESSO input):
```
&SYSTEM
  ibrav = 0, nat = 9, ntyp = 4
/
ATOMIC_SPECIES
O 16.00 O.upf
Pb 207.20 Pb.upf
Ni 58.69 Ni.upf
Pa 231.04 Pa.upf
CELL_PARAMETERS angstrom
4.856 0.000 0.000
0.000 5.326 0.000
0.000 -2.663 4.613
ATOMIC_POSITIONS angstrom
O 1.269 3.542 2.979
Pb 2.428 0.000 0.000
O 3.587 1.785 2.979
O 3.587 4.351 1.578
O 1.269 0.975 1.578
O 1.269 3.472 0.056
Ni 2.428 2.663 1.538
Pa 0.000 0.000 3.075
O 3.587 1.854 0.056
```

=====

Compound: PaNiPb2O6
Source: the Alexandria database
Functional: PBE with a Hubbard U
Structure: relaxed Values from VASP.

## Properties
- M_tot (μB/cell) = 1.652
- space group = C2/m
- calculated total energy (eV/f.u.) = -67.5

Structure (Quantum ESPRESSO input):
```
&SYSTEM
  ibrav = 0, nat = 10, ntyp = 4
/
ATOMIC_SPECIES
O 16.00 O.upf
Pb 207.20 Pb.upf
Pa 231.04 Pa.upf
Ni 58.69 Ni.upf
CELL_PARAMETERS angstrom
5.953 -0.107 -0.062
2.900 5.003 -0.050
2.888 1.587 4.748
ATOMIC_POSITIONS angstrom
O 4.397 1.137 1.622
Pb 3.088 1.561 3.771
O 1.495 0.459 1.137
O 4.386 3.710 3.544
Pa 8.818 4.872 2.527
O 8.363 3.182 1.325
O 6.372 1.558 3.779
Ni 2.947 1.630 0.209
O 7.288 4.388 4.029
Pb 5.695 3.286 1.396
```

=====

Compound: Pa2NiPdO8
Source: the Alexandria database
Functional: PBE with a Hubbard U
Structure: relaxed Values from VASP.

## Properties
- M_tot (μB/cell) = 3.926
- space group = I-4
- calculated total energy (eV/f.u.) = -91.4

Structure (Quantum ESPRESSO input):
```
&SYSTEM
  ibrav = 0, nat = 12, ntyp = 4
/
ATOMIC_SPECIES
O 16.00 O.upf
Ni 58.69 Ni.upf
Pa 231.04 Pa.upf
Pd 106.42 Pd.upf
CELL_PARAMETERS angstrom
-5.275 0.430 0.124
0.110 -0.176 5.290
3.031 5.329 -2.535
ATOMIC_POSITIONS angstrom
O 1.503 3.397 1.015
O -4.256 1.089 1.731
O -0.779 0.740 3.733
Ni -2.413 2.943 0.148
O -3.328 2.094 3.987
Pa -2.582 0.127 2.707
Pd 0.000 0.000 0.000
O -1.518 2.022 1.549
O 1.387 4.641 -1.599
Pa 0.280 2.640 2.731
O -0.923 3.653 -0.794
O -0.618 4.696 1.893
```